Ba2AgAs: single point on PBEsol structure, SCAN.

The density comes out at 3.87 g/cm³. The volume is 49.12 Å³ per atom. The energy of formation is -0.426 eV per atom.

The structure belongs to space group I-42d (No. 122); the cell edges are 6.953, 6.953 and 16.258 Å and the angles 90.00°, 90.00° and 90.00°. The inequivalent atoms are Ba at (0.223, 0.250, 0.125), Ag at (0.000, 0.000, 0.500) and As at (0.000, 0.000, 0.000).